A relaxed structure of Ac2CeVO6. Source: the Alexandria database, functional PBE+U.

Cell lengths 5.9574, 6.1047, 8.5018 Å; angles 90.00, 89.33, 90.00 degrees
Last column: nearest neighbours and their distance in Å.
Element x y z (fractional)
V 0.5000 0.0000 0.0000  6 O 2.17-2.19
Ac 0.4861 0.4504 0.2490  4 O 2.49-2.61
Ac 0.0139 0.9504 0.2510  4 O 2.49-2.61
O 0.3946 0.9612 0.7555  1 V 2.19, 1 Ce 2.27
O 0.3041 0.7056 0.0545  1 V 2.19, 1 Ce 2.26
O 0.8946 0.5388 0.2555  1 V 2.19, 1 Ce 2.27
O 0.2083 0.2000 0.0570  1 V 2.17, 1 Ce 2.27
V 0.0000 0.5000 0.5000  6 O 2.17-2.19
Ce 0.5000 0.0000 0.5000  6 O 2.26-2.27
O 0.7083 0.3000 0.5570  1 V 2.17, 1 Ce 2.27
Ac 0.5139 0.5496 0.7510  4 O 2.49-2.61
O 0.2917 0.7000 0.4430  1 V 2.17, 1 Ce 2.27
Ac 0.9861 0.0496 0.7490  4 O 2.49-2.61
O 0.1959 0.2056 0.4455  1 V 2.19, 1 Ce 2.26
O 0.7917 0.8000 0.9430  1 V 2.17, 1 Ce 2.27
O 0.6959 0.2944 0.9455  1 V 2.19, 1 Ce 2.26
O 0.1054 0.4612 0.7445  1 V 2.19, 1 Ce 2.27
O 0.6054 0.0388 0.2445  1 V 2.19, 1 Ce 2.27
O 0.8041 0.7944 0.5545  1 V 2.19, 1 Ce 2.26
Ce 0.0000 0.5000 0.0000  6 O 2.26-2.27

space group	P2_1/c
raw total energy	-8.160	eV per atom
M_tot	6.09	Bohr magnetons per cell
D(E_F)	1.703	states/eV/f.u.



A relaxed structure of AcCeV2O8. Source: the Alexandria database, functional PBE+U.

Cell lengths 5.7616, 5.7616, 7.4433 Å; angles 90.00, 90.00, 120.00 degrees
Last column: nearest neighbours and their distance in Å.
Element x y z (fractional)
O 0.1627 0.3288 0.7252  1 V 1.77
O 0.6712 0.8339 0.7252  1 V 1.77
V 0.3333 0.6667 0.7960  4 O 1.68-1.77
O 0.8339 0.1627 0.2748  1 V 1.77
O 0.3333 0.6667 0.0222  1 V 1.68
V 0.6667 0.3333 0.2040  4 O 1.68-1.77
O 0.3288 0.1661 0.2748  1 V 1.77
O 0.6667 0.3333 0.9778  1 V 1.68
O 0.1661 0.8373 0.7252  1 V 1.77
Ac 0.0000 0.0000 0.0000  6 O 2.62
O 0.8373 0.6712 0.2748  1 V 1.77
Ce 0.0000 0.0000 0.5000  6 O 2.35

space group	P-3
raw total energy	-7.993	eV per atom
M_tot	1.02	Bohr magnetons per cell
D(E_F)	7.638	states/eV/f.u.



A relaxed structure of AcCeWO6. Source: the Alexandria database, functional PBE+U.

Cell lengths 5.9420, 5.9420, 9.2406 Å; angles 90.00, 90.00, 120.00 degrees
Last column: nearest neighbours and their distance in Å.
Element x y z (fractional)
O 0.3816 0.3140 0.3683  1 W 1.97
O 0.6860 0.6184 0.1317  1 W 1.97
O 0.3140 0.9324 0.6317  1 W 1.97
O 0.6184 0.6860 0.6317  1 W 1.97
O 0.9324 0.6184 0.3683  1 W 1.97
W 0.3333 0.6667 0.7500  6 O 1.97
O 0.6860 0.0676 0.3683  1 W 1.97
O 0.3816 0.0676 0.1317  1 W 1.97
Ce 0.0000 0.0000 0.0000  6 O 2.42
O 0.6184 0.9324 0.8683  1 W 1.97
W 0.6667 0.3333 0.2500  6 O 1.97
Ce 0.0000 0.0000 0.5000  6 O 2.42
O 0.9324 0.3140 0.1317  1 W 1.97
O 0.3140 0.3816 0.8683  1 W 1.97
O 0.0676 0.6860 0.8683  1 W 1.97
Ac 0.3333 0.6667 0.2500  6 O 2.50
O 0.0676 0.3816 0.6317  1 W 1.97
Ac 0.6667 0.3333 0.7500  6 O 2.50

space group	P-31c
raw total energy	-7.991	eV per atom
M_tot	2.04	Bohr magnetons per cell
D(E_F)	5.139	states/eV/f.u.



A relaxed structure of AcCe2WO8. Source: the Alexandria database, functional PBE+U.

Cell lengths 5.1949, 5.2002, 7.1627 Å; angles 90.00, 90.00, 89.58 degrees
Last column: nearest neighbours and their distance in Å.
Element x y z (fractional)
O 0.2692 0.2679 0.0000  1 W 1.98
O 0.7308 0.7321 0.0000  1 W 1.98
O 0.8171 0.1839 0.7999  1 W 1.96
Ac 0.0000 0.0000 0.5000  6 O 2.40-2.53
Ce 0.5000 0.5000 0.7567  6 O 2.25-2.44
O 0.1829 0.8161 0.2001  1 W 1.96
O 0.8171 0.1839 0.2001  1 W 1.96
W 0.0000 0.0000 0.0000  6 O 1.96-1.98
O 0.1829 0.8162 0.7999  1 W 1.96
O 0.6732 0.6763 0.5000  2 Ce 2.25, 1 Ac 2.40
O 0.3268 0.3237 0.5000  2 Ce 2.25, 1 Ac 2.40
Ce 0.5000 0.5000 0.2433  6 O 2.25-2.44

space group	P2/m
raw total energy	-8.191	eV per atom
M_tot	1.04	Bohr magnetons per cell
D(E_F)	6.450	states/eV/f.u.



Copy entry 4 word for word.
A relaxed structure of AcCe2WO8. Source: the Alexandria database, functional PBE+U.

Cell lengths 5.1949, 5.2002, 7.1627 Å; angles 90.00, 90.00, 89.58 degrees
Last column: nearest neighbours and their distance in Å.
Element x y z (fractional)
O 0.2692 0.2679 0.0000  1 W 1.98
O 0.7308 0.7321 0.0000  1 W 1.98
O 0.8171 0.1839 0.7999  1 W 1.96
Ac 0.0000 0.0000 0.5000  6 O 2.40-2.53
Ce 0.5000 0.5000 0.7567  6 O 2.25-2.44
O 0.1829 0.8161 0.2001  1 W 1.96
O 0.8171 0.1839 0.2001  1 W 1.96
W 0.0000 0.0000 0.0000  6 O 1.96-1.98
O 0.1829 0.8162 0.7999  1 W 1.96
O 0.6732 0.6763 0.5000  2 Ce 2.25, 1 Ac 2.40
O 0.3268 0.3237 0.5000  2 Ce 2.25, 1 Ac 2.40
Ce 0.5000 0.5000 0.2433  6 O 2.25-2.44

space group	P2/m
raw total energy	-8.191	eV per atom
M_tot	1.04	Bohr magnetons per cell
D(E_F)	6.450	states/eV/f.u.



What is the raw total energy in the fourth record?
-8.191 eV per atom